# LaBe2Cd (PBE, optimized geometry)
# Theoretical density ... 5630 kg/m³
# Crystal system ... monoclinic
# Total magnetic moment ... 0.000 μB per atom
# Energy of formation ... 0.09 eV per atom
# Uncorrected energy ... -3.238 eV/atom
data_LaBe2Cd
_cell_length_a 4.0265
_cell_length_b 4.0265
_cell_length_c 6.1113
_cell_angle_alpha 70.94
_cell_angle_beta 70.94
_cell_angle_gamma 59.96
_symmetry_space_group_name_H-M 'P 1'
_symmetry_Int_Tables_number 1
loop_
_symmetry_equiv_pos_as_xyz
'x,y,z'
loop_
_atom_site_label
_atom_site_fract_x
_atom_site_fract_y
_atom_site_fract_z
_atom_site_occupancy
Be1 0.0537 0.0537 0.8378 1
Be2 0.7271 0.7271 0.8194 1
Cd1 0.4551 0.4551 0.6334 1
La1 0.2640 0.2640 0.2093 1